Record 1
Density functional theory data (PBE-GGA) for a relaxed CsCaZn2Pt crystal.

Cell and atoms, written as extended XYZ:
```
5
Lattice="5.152 0.000 0.000 0.000 5.152 0.000 0.000 0.000 5.448" Properties=species:S:1:pos:R:3 pbc="T T T"
Zn 2.576 0.000 0.000
Zn 0.000 2.576 0.000
Cs 2.576 2.576 2.724
Pt 0.000 0.000 0.000
Ca 0.000 0.000 2.724
```

## Properties
**Space group**: No. 123

***

Record 2
Density functional theory data (PBE-GGA) for a relaxed CsCaZnPt2 crystal.

Cell and atoms, written as extended XYZ:
```
5
Lattice="-2.024 4.178 2.657 -5.440 -1.709 -1.457 -0.263 -2.957 4.449" Properties=species:S:1:pos:R:3 pbc="T T T"
Ca 0.000 0.000 0.000
Zn -2.720 -0.854 -0.728
Cs -3.863 -0.244 2.825
Pt -1.012 2.089 1.329
Pt -0.131 -1.479 2.225
```

## Properties
**Space group**: No. 123

***

no.,volume (Å³/f.u.),E_form (kJ/mol of atoms)
1,144.6,-22.9
2,168.4,37.1